# HfNbSbI2

An optimized crystal structure of HfNbSbI2 (PBE-GGA, the Alexandria database).

Properties
Energy   -23.20 eV/f.u.
Size of the total moment   3.63 μB/f.u.
Symmetry   P4/mmm (123)
Raw formation energy   809.0 meV per atom
V   34.8 Å³/atom

abc: 5.5208 5.5208 5.7155
angles: 90.00 90.00 90.00
Last column: nearest neighbours and their distance in Å.
Fractional positions:
Hf 0.0000 0.0000 0.0000  4 I 2.76, 2 Sb 2.86
Nb 0.5000 0.5000 0.5000  4 Sb 3.90, 8 I 3.97
Sb 0.0000 0.0000 0.5000  2 Hf 2.86
I 0.0000 0.5000 0.0000  2 Hf 2.76
I 0.5000 0.0000 0.0000  2 Hf 2.76

# Tl2Cu2GeI6

An optimized crystal structure of Tl2Cu2GeI6 (PBE-GGA, the Alexandria database).

Properties
Energy   -30.28 eV/f.u.
Size of the total moment   0.00 μB/f.u.
Symmetry   C2/m (12)
Raw formation energy   -312.8 meV per atom
V   37.8 Å³/atom

abc: 8.2612 8.2612 8.2858
angles: 117.30 117.30 60.06
Last column: nearest neighbours and their distance in Å.
Fractional positions:
Tl 0.2441 0.2441 0.2106  5 I 3.51-3.60
Tl 0.7559 0.7559 0.7894  5 I 3.51-3.60
Cu 0.4528 0.4528 0.8063  3 I 2.56, 1 Cu 2.75
Cu 0.5472 0.5472 0.1937  3 I 2.56, 1 Cu 2.75
Ge 0.0000 0.0000 0.5000  6 I 3.03-3.04
I 0.1902 0.6935 0.1899  1 Cu 2.56
I 0.2419 0.2419 0.6324  1 Cu 2.56
I 0.3065 0.8098 0.8101  1 Cu 2.56
I 0.6935 0.1902 0.1899  1 Cu 2.56
I 0.7581 0.7581 0.3676  1 Cu 2.56
I 0.8098 0.3065 0.8101  1 Cu 2.56

# HfVS

An optimized crystal structure of HfVS (PBE-GGA, the Alexandria database).

Properties
Energy   -24.85 eV/f.u.
Size of the total moment   0.85 μB/f.u.
Symmetry   P4/nmm (129)
Raw formation energy   -548.6 meV per atom
V   17.0 Å³/atom

abc: 3.2021 3.2021 9.9329
angles: 90.00 90.00 90.00
Last column: nearest neighbours and their distance in Å.
Fractional positions:
Hf 0.2500 0.2500 0.1030  1 S 2.74, 4 V 2.97, 4 Hf 3.05
Hf 0.7500 0.7500 0.8970  1 S 2.74, 4 V 2.97, 4 Hf 3.05
V 0.2500 0.2500 0.7037  4 S 2.41
V 0.7500 0.7500 0.2963  4 S 2.41
S 0.2500 0.2500 0.3792  4 V 2.41
S 0.7500 0.7500 0.6208  4 V 2.41

# NaZr2TlSi

An optimized crystal structure of NaZr2TlSi (PBE-GGA, the Alexandria database).

Properties
Energy   -20.20 eV/f.u.
Size of the total moment   0.00 μB/f.u.
Symmetry   P4/mmm (123)
Raw formation energy   1201.8 meV per atom
V   23.7 Å³/atom

abc: 5.0162 5.0162 4.7183
angles: 90.00 90.00 90.00
Last column: nearest neighbours and their distance in Å.
Fractional positions:
Na 0.0000 0.0000 0.0000  2 Si 2.36, 4 Zr 2.51
Zr 0.0000 0.5000 0.0000  2 Na 2.51
Zr 0.5000 0.0000 0.0000  2 Na 2.51
Tl 0.5000 0.5000 0.5000  8 Zr 3.44, 4 Si 3.55
Si 0.0000 0.0000 0.5000  2 Na 2.36

# Zn2CoMo

An optimized crystal structure of Zn2CoMo (PBE-GGA, the Alexandria database).

Properties
Energy   -19.98 eV/f.u.
Size of the total moment   0.33 μB/f.u.
Symmetry   Cm (8)
V   13.7 Å³/atom

abc: 8.5726 2.6882 4.8041
angles: 90.00 98.82 90.00
Last column: nearest neighbours and their distance in Å.
Fractional positions:
Zn 0.0000 0.0000 0.0000  5 Zn 2.49-2.69, 2 Co 2.67, 2 Mo 2.70
Zn 0.2468 0.0000 0.7870  5 Zn 2.49-2.69, 1 Mo 2.71, 2 Co 2.72
Zn 0.5000 0.5000 0.0000  5 Zn 2.49-2.69, 2 Co 2.67, 2 Mo 2.70
Zn 0.7468 0.5000 0.7870  5 Zn 2.49-2.69, 1 Mo 2.71, 2 Co 2.72
Co 0.2393 0.5000 0.2929  3 Mo 2.46-2.57, 4 Zn 2.67-2.72, 2 Co 2.69
Co 0.7393 0.0000 0.2929  3 Mo 2.46-2.57, 4 Zn 2.67-2.72, 2 Co 2.69
Mo 0.4888 0.0000 0.4834  3 Co 2.46-2.57, 2 Mo 2.69, 3 Zn 2.70-2.71
Mo 0.9888 0.5000 0.4834  3 Co 2.46-2.57, 2 Mo 2.69, 3 Zn 2.70-2.71

# PaZnGa4

An optimized crystal structure of PaZnGa4 (PBE-GGA, the Alexandria database).

Properties
Energy   -23.59 eV/f.u.
Size of the total moment   0.00 μB/f.u.
Symmetry   Cmmm (65)
V   19.1 Å³/atom

abc: 4.2193 11.7736 4.6198
angles: 90.00 90.00 90.00
Last column: nearest neighbours and their distance in Å.
Fractional positions:
Pa 0.0000 0.0000 0.0000  8 Ga 3.02-3.04, 4 Zn 3.13
Pa 0.5000 0.5000 0.0000  8 Ga 3.02-3.04, 4 Zn 3.13
Zn 0.0000 0.5000 0.5000  8 Ga 2.87-3.18, 4 Pa 3.13
Zn 0.5000 0.0000 0.5000  8 Ga 2.87-3.18, 4 Pa 3.13
Ga 0.0000 0.1647 0.5000  2 Zn 2.87, 8 Ga 2.91-3.14, 2 Pa 3.02
Ga 0.0000 0.3147 0.0000  4 Ga 2.60-2.91
Ga 0.0000 0.6853 0.0000  4 Ga 2.60-2.91
Ga 0.0000 0.8353 0.5000  2 Zn 2.87, 8 Ga 2.91-3.14, 2 Pa 3.02
Ga 0.5000 0.1853 0.0000  4 Ga 2.60-2.91
Ga 0.5000 0.3353 0.5000  2 Zn 2.87, 8 Ga 2.91-3.14, 2 Pa 3.02
Ga 0.5000 0.6647 0.5000  2 Zn 2.87, 8 Ga 2.91-3.14, 2 Pa 3.02
Ga 0.5000 0.8147 0.0000  4 Ga 2.60-2.91

# RbNa2SmBr6

An optimized crystal structure of RbNa2SmBr6 (PBE-GGA, the Alexandria database).

Properties
Energy   -35.66 eV/f.u.
Size of the total moment   0.00 μB/f.u.
Symmetry   R3 (146)
Raw formation energy   -1729.3 meV per atom
V   36.2 Å³/atom

abc: 8.3294 8.3294 8.3294
angles: 55.08 55.08 55.08
Last column: nearest neighbours and their distance in Å.
Fractional positions:
Rb 0.0000 0.0000 0.0000  6 Br 3.37-3.59
Na 0.2844 0.2844 0.2844  6 Br 3.03-3.12
Na 0.7994 0.7994 0.7994  6 Br 2.95-3.09
Sm 0.4790 0.4790 0.4790  6 Br 2.88-2.90
Br 0.0782 0.6363 0.4540  1 Sm 2.90, 2 Na 2.95-3.12
Br 0.2213 0.5550 0.8671  1 Sm 2.88, 2 Na 3.03-3.09
Br 0.4540 0.0782 0.6363  1 Sm 2.90, 2 Na 2.95-3.12
Br 0.5550 0.8671 0.2213  1 Sm 2.88, 2 Na 3.03-3.09
Br 0.6363 0.4540 0.0782  1 Sm 2.90, 2 Na 2.95-3.12
Br 0.8671 0.2213 0.5550  1 Sm 2.88, 2 Na 3.03-3.09

# Sb2AsRhI

An optimized crystal structure of Sb2AsRhI (PBE-GGA, the Alexandria database).

Properties
Energy   -19.17 eV/f.u.
Size of the total moment   0.00 μB/f.u.
Symmetry   P4/mmm (123)
Raw formation energy   526.1 meV per atom
V   28.2 Å³/atom

abc: 5.1189 5.1189 5.3904
angles: 90.00 90.00 90.00
Last column: nearest neighbours and their distance in Å.
Fractional positions:
Sb 0.0000 0.5000 0.0000  2 Rh 2.56
Sb 0.5000 0.0000 0.0000  2 Rh 2.56
As 0.0000 0.0000 0.5000  4 I 3.62, 8 Sb 3.72
Rh 0.5000 0.5000 0.0000  4 Sb 2.56, 2 I 2.70
I 0.5000 0.5000 0.5000  2 Rh 2.70

# CuTcPt2

An optimized crystal structure of CuTcPt2 (PBE-GGA, the Alexandria database).

Properties
Energy   -26.94 eV/f.u.
Size of the total moment   0.00 μB/f.u.
Symmetry   R3m (160)
V   14.6 Å³/atom

abc: 2.7834 2.7834 26.1458
angles: 90.00 90.00 120.00
Last column: nearest neighbours and their distance in Å.
Fractional positions:
Cu 0.0000 0.0000 0.0000  6 Pt 2.69, 6 Cu 2.78
Cu 0.3333 0.6667 0.6667  6 Pt 2.69, 6 Cu 2.78
Cu 0.6667 0.3333 0.3333  6 Pt 2.69, 6 Cu 2.78
Tc 0.0000 0.0000 0.8334  6 Pt 2.72, 6 Tc 2.78
Tc 0.3333 0.6667 0.5001  6 Pt 2.72, 6 Tc 2.78
Tc 0.6667 0.3333 0.1667  6 Pt 2.72, 6 Tc 2.78
Pt 0.0000 0.0000 0.4159  3 Cu 2.69, 3 Tc 2.72, 6 Pt 2.78
Pt 0.0000 0.0000 0.5840  3 Cu 2.69, 3 Tc 2.72, 6 Pt 2.78
Pt 0.3333 0.6667 0.0826  3 Cu 2.69, 3 Tc 2.72, 6 Pt 2.78
Pt 0.3333 0.6667 0.2507  3 Cu 2.69, 3 Tc 2.72, 6 Pt 2.78
Pt 0.6667 0.3333 0.7492  3 Cu 2.69, 3 Tc 2.72, 6 Pt 2.78
Pt 0.6667 0.3333 0.9174  3 Cu 2.69, 3 Tc 2.72, 6 Pt 2.78

# AlTcHgGe2

An optimized crystal structure of AlTcHgGe2 (PBE-GGA, the Alexandria database).

Properties
Energy   -23.21 eV/f.u.
Size of the total moment   0.00 μB/f.u.
Symmetry   P4/mmm (123)
V   22.9 Å³/atom

abc: 4.8190 4.8190 4.9331
angles: 90.00 90.00 90.00
Last column: nearest neighbours and their distance in Å.
Fractional positions:
Al 0.0000 0.0000 0.0000  2 Tc 2.47
Tc 0.0000 0.0000 0.5000  4 Ge 2.41, 2 Al 2.47
Hg 0.5000 0.5000 0.0000  4 Al 3.41, 8 Ge 3.45
Ge 0.0000 0.5000 0.5000  2 Tc 2.41
Ge 0.5000 0.0000 0.5000  2 Tc 2.41

# CdInHPd2

An optimized crystal structure of CdInHPd2 (PBE-GGA, the Alexandria database).

Properties
Energy   -18.27 eV/f.u.
Size of the total moment   0.00 μB/f.u.
Symmetry   P4/mmm (123)
V   14.8 Å³/atom

abc: 4.2138 4.2138 4.1667
angles: 90.00 90.00 90.00
Last column: nearest neighbours and their distance in Å.
Fractional positions:
Cd 0.0000 0.0000 0.0000  2 H 2.08
In 0.5000 0.5000 0.0000  8 Pd 2.96, 4 Cd 2.98
H 0.0000 0.0000 0.5000  2 Cd 2.08, 4 Pd 2.11
Pd 0.0000 0.5000 0.5000  2 H 2.11
Pd 0.5000 0.0000 0.5000  2 H 2.11

# Ho8Tm2Hg

An optimized crystal structure of Ho8Tm2Hg (PBE-GGA, the Alexandria database).

Properties
Energy   -46.43 eV/f.u.
Size of the total moment   0.00 μB/f.u.
Symmetry   C2/m (12)
V   30.1 Å³/atom

abc: 9.9555 9.9555 6.3171
angles: 95.01 95.01 32.07
Last column: nearest neighbours and their distance in Å.
Fractional positions:
Ho 0.0441 0.0441 0.2653  2 Hg 3.29, 4 Ho 3.50-3.61
Ho 0.1559 0.1559 0.7981  5 Ho 3.31-3.52, 4 Tm 3.50-3.63
Ho 0.3403 0.3403 0.8768  1 Hg 3.08, 2 Tm 3.39, 2 Ho 3.43
Ho 0.4216 0.4216 0.3982  1 Hg 3.04, 3 Ho 3.16-3.31, 1 Tm 3.40
Ho 0.5784 0.5784 0.6018  1 Hg 3.04, 3 Ho 3.16-3.31, 1 Tm 3.40
Ho 0.6597 0.6597 0.1232  1 Hg 3.08, 2 Tm 3.39, 2 Ho 3.43
Ho 0.8441 0.8441 0.2019  5 Ho 3.31-3.52, 4 Tm 3.50-3.63
Ho 0.9559 0.9559 0.7347  2 Hg 3.29, 4 Ho 3.50-3.61
Tm 0.2430 0.2430 0.3327  10 Ho 3.39-3.79, 2 Tm 3.46
Tm 0.7570 0.7570 0.6673  10 Ho 3.39-3.79, 2 Tm 3.46
Hg 0.5000 0.5000 0.0000  8 Ho 3.04-3.29